Entry 1:
The following is a PBE calculation of a relaxed LiRe2Ag crystal, from Alexandria.

## Properties
Crystal system: cubic
ΔH_f (0 K), eV/f.u.: 1.859
Energy above the lowest structure with this stoichiometry, kJ per mole of atoms: 19.8

Cell lengths 6.190, 6.190, 6.190 Å; angles 90.00, 90.00, 90.00 degrees
Fractional coordinates of all 16 atoms:
Li 0.000 0.000 0.000
Li 0.000 0.500 0.500
Li 0.500 0.000 0.500
Li 0.500 0.500 0.000
Re 0.000 0.000 0.500
Re 0.000 0.500 0.000
Re 0.250 0.250 0.250
Re 0.250 0.750 0.750
Re 0.500 0.000 0.000
Re 0.500 0.500 0.500
Re 0.750 0.250 0.750
Re 0.750 0.750 0.250
Ag 0.250 0.250 0.750
Ag 0.250 0.750 0.250
Ag 0.750 0.250 0.250
Ag 0.750 0.750 0.750

---

Entry 2:
The following is a PBE calculation of a relaxed Li2ReAg crystal, from Alexandria.

## Properties
Crystal system: monoclinic
ΔH_f (0 K), eV/f.u.: 1.335
Energy above the lowest structure with this stoichiometry, kJ per mole of atoms: 19.8

Cell lengths 9.373, 2.599, 5.063 Å; angles 90.00, 98.73, 90.00 degrees
Fractional coordinates of all 8 atoms:
Li 0.249 0.000 0.266
Li 0.251 0.500 0.734
Li 0.749 0.500 0.266
Li 0.751 0.000 0.734
Re 0.000 0.000 0.500
Re 0.500 0.500 0.500
Ag 0.000 0.500 0.000
Ag 0.500 0.000 0.000

---

Entry 3:
The following is a PBE calculation of a relaxed Li2ReAg crystal, from Alexandria.

## Properties
Crystal system: orthorhombic
ΔH_f (0 K), eV/f.u.: 0.516
Energy above the lowest structure with this stoichiometry, kJ per mole of atoms: 0.0

Cell lengths 3.023, 4.349, 9.253 Å; angles 90.00, 90.00, 90.00 degrees
Fractional coordinates of all 8 atoms:
Li 0.000 0.000 0.244
Li 0.000 0.000 0.756
Li 0.500 0.500 0.244
Li 0.500 0.500 0.756
Re 0.000 0.500 0.000
Re 0.500 0.000 0.000
Ag 0.000 0.500 0.500
Ag 0.500 0.000 0.500

---

Entry 4:
The following is a PBE calculation of a relaxed LiReAg crystal, from Alexandria.

## Properties
Crystal system: orthorhombic
ΔH_f (0 K), eV/f.u.: 2.044
Energy above the lowest structure with this stoichiometry, kJ per mole of atoms: 35.5

Cell lengths 2.584, 4.322, 8.421 Å; angles 90.00, 90.00, 90.00 degrees
Fractional coordinates of all 6 atoms:
Li 0.000 0.000 0.000
Li 0.500 0.500 0.500
Re 0.000 0.000 0.669
Re 0.500 0.500 0.169
Ag 0.000 0.000 0.333
Ag 0.500 0.500 0.833

---

Entry 5:
The following is a PBE calculation of a relaxed LiRe2Ag crystal, from Alexandria.

## Properties
Crystal system: orthorhombic
ΔH_f (0 K), eV/f.u.: 1.709
Energy above the lowest structure with this stoichiometry, kJ per mole of atoms: 16.1

Cell lengths 3.073, 4.147, 9.488 Å; angles 90.00, 90.00, 90.00 degrees
Fractional coordinates of all 8 atoms:
Li 0.000 0.000 0.000
Li 0.500 0.500 0.500
Re 0.000 0.500 0.251
Re 0.000 0.500 0.749
Re 0.500 0.000 0.249
Re 0.500 0.000 0.751
Ag 0.000 0.000 0.500
Ag 0.500 0.500 0.000

---

Entry 6:
The following is a PBE calculation of a relaxed Li2ReAg crystal, from Alexandria.

## Properties
Crystal system: tetragonal
ΔH_f (0 K), eV/f.u.: 3.793
Energy above the lowest structure with this stoichiometry, kJ per mole of atoms: 79.0

Cell lengths 6.680, 6.680, 5.355 Å; angles 90.00, 90.00, 90.00 degrees
Fractional coordinates of all 16 atoms:
Li 0.236 0.750 0.125
Li 0.250 0.236 0.875
Li 0.250 0.264 0.375
Li 0.264 0.750 0.625
Li 0.736 0.250 0.625
Li 0.750 0.736 0.375
Li 0.750 0.764 0.875
Li 0.764 0.250 0.125
Re 0.000 0.000 0.500
Re 0.000 0.500 0.750
Re 0.500 0.000 0.250
Re 0.500 0.500 0.000
Ag 0.000 0.000 0.000
Ag 0.000 0.500 0.250
Ag 0.500 0.000 0.750
Ag 0.500 0.500 0.500

---

Entry 7:
The following is a PBE calculation of a relaxed Li2ReAg crystal, from Alexandria.

## Properties
Crystal system: tetragonal
ΔH_f (0 K), eV/f.u.: 2.909
Energy above the lowest structure with this stoichiometry, kJ per mole of atoms: 57.7

Cell lengths 3.884, 3.884, 7.947 Å; angles 90.00, 90.00, 90.00 degrees
Fractional coordinates of all 8 atoms:
Li 0.000 0.000 0.000
Li 0.000 0.500 0.250
Li 0.500 0.000 0.750
Li 0.500 0.500 0.500
Re 0.000 0.500 0.750
Re 0.500 0.000 0.250
Ag 0.000 0.000 0.500
Ag 0.500 0.500 0.000

---

Entry 8:
The following is a PBE calculation of a relaxed LiRe2Ag crystal, from Alexandria.

## Properties
Crystal system: orthorhombic
ΔH_f (0 K), eV/f.u.: 2.099
Energy above the lowest structure with this stoichiometry, kJ per mole of atoms: 25.5

Cell lengths 2.734, 4.620, 9.880 Å; angles 90.00, 90.00, 90.00 degrees
Fractional coordinates of all 8 atoms:
Li 0.000 0.000 0.000
Li 0.500 0.500 0.000
Re 0.000 0.500 0.242
Re 0.000 0.500 0.758
Re 0.500 0.000 0.242
Re 0.500 0.000 0.758
Ag 0.000 0.000 0.500
Ag 0.500 0.500 0.500

---

Entry 9:
The following is a PBE calculation of a relaxed LiRe3Ag crystal, from Alexandria.

## Properties
Crystal system: cubic
ΔH_f (0 K), eV/f.u.: 7.841
Energy above the lowest structure with this stoichiometry, kJ per mole of atoms: 0.0

Cell lengths 4.175, 4.175, 4.175 Å; angles 90.00, 90.00, 90.00 degrees
Fractional coordinates of all 5 atoms:
Li 0.000 0.000 0.000
Re 0.000 0.000 0.500
Re 0.000 0.500 0.000
Re 0.500 0.000 0.000
Ag 0.500 0.500 0.500

---

Entry 10:
The following is a PBE calculation of a relaxed Li2ReAg crystal, from Alexandria.

## Properties
Crystal system: orthorhombic
ΔH_f (0 K), eV/f.u.: 1.541
Energy above the lowest structure with this stoichiometry, kJ per mole of atoms: 24.7

Cell lengths 5.635, 8.477, 2.535 Å; angles 90.00, 90.00, 90.00 degrees
Fractional coordinates of all 8 atoms:
Li 0.250 0.250 0.000
Li 0.250 0.750 0.000
Li 0.750 0.250 0.000
Li 0.750 0.750 0.000
Re 0.000 0.000 0.500
Re 0.500 0.500 0.500
Ag 0.000 0.500 0.500
Ag 0.500 0.000 0.500

---

Entry 11:
The following is a PBE calculation of a relaxed LiRe2Ag crystal, from Alexandria.

## Properties
Crystal system: monoclinic
ΔH_f (0 K), eV/f.u.: 1.240
Energy above the lowest structure with this stoichiometry, kJ per mole of atoms: 4.8

Cell lengths 2.647, 4.255, 5.608 Å; angles 90.00, 101.90, 90.00 degrees
Fractional coordinates of all 4 atoms:
Li 0.000 0.000 0.000
Re 0.590 0.000 0.475
Re 0.823 0.500 0.285
Ag 0.251 0.500 0.799

---

Entry 12:
The following is a PBE calculation of a relaxed LiRe2Ag crystal, from Alexandria.

## Properties
Crystal system: monoclinic
ΔH_f (0 K), eV/f.u.: 1.533
Energy above the lowest structure with this stoichiometry, kJ per mole of atoms: 11.9

Cell lengths 8.964, 2.612, 5.283 Å; angles 90.00, 93.97, 90.00 degrees
Fractional coordinates of all 8 atoms:
Li 0.000 0.000 0.000
Li 0.500 0.500 0.000
Re 0.009 0.500 0.480
Re 0.255 0.500 0.292
Re 0.509 0.000 0.480
Re 0.755 0.000 0.292
Ag 0.248 0.000 0.803
Ag 0.748 0.500 0.803

---

Entry 13:
The following is a PBE calculation of a relaxed Li2ReAg crystal, from Alexandria.

## Properties
Crystal system: trigonal
ΔH_f (0 K), eV/f.u.: 0.691
Energy above the lowest structure with this stoichiometry, kJ per mole of atoms: 4.2

Cell lengths 2.747, 2.747, 28.256 Å; angles 90.00, 90.00, 120.00 degrees
Fractional coordinates of all 12 atoms:
Li 0.000 0.000 0.247
Li 0.000 0.000 0.753
Li 0.333 0.667 0.420
Li 0.333 0.667 0.913
Li 0.667 0.333 0.087
Li 0.667 0.333 0.580
Re 0.000 0.000 0.500
Re 0.333 0.667 0.167
Re 0.667 0.333 0.833
Ag 0.000 0.000 0.000
Ag 0.333 0.667 0.667
Ag 0.667 0.333 0.333

---

Entry 14:
The following is a PBE calculation of a relaxed LiV2ReAg crystal, from Alexandria.

## Properties
Crystal system: tetragonal
ΔH_f (0 K), eV/f.u.: 5.562

Cell lengths 4.542, 4.542, 4.847 Å; angles 90.00, 90.00, 90.00 degrees
Fractional coordinates of all 5 atoms:
Li 0.000 0.000 0.000
V 0.000 0.500 0.500
V 0.500 0.000 0.500
Re 0.000 0.000 0.500
Ag 0.500 0.500 0.000

---

Entry 15:
The following is a PBE calculation of a relaxed LiAgRh crystal, from Alexandria.

## Properties
Crystal system: tetragonal
ΔH_f (0 K), eV/f.u.: 0.100
Energy above the lowest structure with this stoichiometry, kJ per mole of atoms: 4.4

Cell lengths 2.733, 2.733, 12.051 Å; angles 90.00, 90.00, 90.00 degrees
Fractional coordinates of all 6 atoms:
Li 0.000 0.000 0.000
Li 0.500 0.500 0.500
Ag 0.000 0.000 0.328
Ag 0.500 0.500 0.828
Rh 0.000 0.000 0.651
Rh 0.500 0.500 0.151

---

Entry 16:
The following is a PBE calculation of a relaxed Li2AgRh crystal, from Alexandria.

## Properties
Crystal system: tetragonal
ΔH_f (0 K), eV/f.u.: -0.455

Cell lengths 2.752, 2.752, 7.696 Å; angles 90.00, 90.00, 90.00 degrees
Fractional coordinates of all 4 atoms:
Li 0.000 0.000 0.233
Li 0.000 0.000 0.767
Ag 0.500 0.500 0.500
Rh 0.500 0.500 0.000